Entry 1:
## Ho2Mg3GaNi2 (PBE)

Data for a relaxed structure of Ho2Mg3GaNi2.

The space group is Cm (No. 8) and the conventional cell measures 9.728, 4.093 and 7.809 Å, with angles of 90.00, 91.02 and 90.00 degrees. The distinct sites, in fractional coordinates, are Ho at (0.000, 0.000, 0.000), Ho at (0.123, 0.000, 0.526), Mg at (0.211, 0.500, 0.204), Mg at (0.409, 0.000, 0.315), Mg at (0.411, 0.000, 0.707), Ga at (0.210, 0.500, 0.816), Ni at (0.284, 0.000, 0.997) and Ni at (0.326, 0.500, 0.523).

Its crystal system is monoclinic. The electronic total energy comes out at -3.845 eV/atom. For the density, the calculation gives 6.30 g/cm3.

=====

Entry 2:
## Ho3Mg3Ga2Pd (PBE)

Data for a relaxed structure of Ho3Mg3Ga2Pd.

The space group is P-62m (No. 189) and the conventional cell measures 7.3025, 7.3025 and 4.3128 Å, with angles of 90.00, 90.00 and 120.00 degrees. The distinct sites, in fractional coordinates, are Ho at (0.0000, 0.4151, 0.0000), Mg at (0.0000, 0.7602, 0.5000), Ga at (0.3333, 0.6667, 0.5000) and Pd at (0.0000, 0.0000, 0.0000).

Its crystal system is hexagonal. The electronic total energy comes out at -3.860 eV/atom. For the density, the calculation gives 6.78 g/cm3.

=====

Entry 3:
## Ho3Mg3GaPd2 (PBE)

Data for a relaxed structure of Ho3Mg3GaPd2.

The space group is P-62m (No. 189) and the conventional cell measures 7.3528, 7.3528 and 4.1995 Å, with angles of 90.00, 90.00 and 120.00 degrees. The distinct sites, in fractional coordinates, are Ho at (0.0000, 0.4181, 0.0000), Mg at (0.0000, 0.7531, 0.5000), Ga at (0.0000, 0.0000, 0.0000) and Pd at (0.3333, 0.6667, 0.5000).

Its crystal system is hexagonal. The electronic total energy comes out at -4.114 eV/atom. For the density, the calculation gives 7.18 g/cm3.

=====

Entry 4:
## Ho3Mg3GaPt2 (PBE)

Data for a relaxed structure of Ho3Mg3GaPt2.

The space group is P-62m (No. 189) and the conventional cell measures 7.3730, 7.3730 and 4.1200 Å, with angles of 90.00, 90.00 and 120.00 degrees. The distinct sites, in fractional coordinates, are Ho at (0.0000, 0.4186, 0.0000), Mg at (0.0000, 0.7506, 0.5000), Ga at (0.0000, 0.0000, 0.0000) and Pt at (0.3333, 0.6667, 0.5000).

Its crystal system is hexagonal. The electronic total energy comes out at -4.493 eV/atom. For the density, the calculation gives 8.80 g/cm3.

=====

Entry 5:
## HoMgGa2Pt4 (PBE)

Data for a relaxed structure of HoMgGa2Pt4.

The space group is P4/mmm (No. 123) and the conventional cell measures 4.561, 4.561 and 6.465 Å, with angles of 90.00, 90.00 and 90.00 degrees. The distinct sites, in fractional coordinates, are Ho at (0.000, 0.000, 0.000), Mg at (0.500, 0.500, 0.500), Ga at (0.000, 0.000, 0.500), Ga at (0.500, 0.500, 0.000) and Pt at (0.000, 0.500, 0.269).

Its crystal system is tetragonal. The electronic total energy comes out at -5.347 eV/atom. For the density, the calculation gives 13.69 g/cm3.

=====

Entry 6:
## Tb2HoMg3Ga3 (PBE)

Data for a relaxed structure of Tb2HoMg3Ga3.

The space group is Amm2 (No. 38) and the conventional cell measures 4.441, 12.583 and 7.292 Å, with angles of 90.00, 90.00 and 90.00 degrees. The distinct sites, in fractional coordinates, are Tb at (0.000, 0.214, 0.000), Ho at (0.000, 0.000, 0.359), Mg at (0.500, 0.000, 0.029), Mg at (0.500, 0.121, 0.664), Ga at (0.000, 0.000, 0.784) and Ga at (0.500, 0.166, 0.286).

Its crystal system is orthorhombic. The electronic total energy comes out at -3.561 eV/atom. For the density, the calculation gives 6.23 g/cm3.